[1]
Below is a relaxed Tl3Rh2 crystal, with properties calculated at the GGA-PBE level.

The space group is R-3m (No. 166, hexagonal axes) and the conventional cell measures 3.1960, 3.1960 and 37.8059 Å, with angles of 90.00, 90.00 and 120.00 degrees. The inequivalent atoms are Tl at (0.0000, 0.0000, 0.0000), Tl at (0.0000, 0.0000, 0.4152) and Rh at (0.0000, 0.0000, 0.1927).

Its calculated formation energy is 0.346 eV/atom.

---

[2]
Below is a relaxed Tl2Rh3 crystal, with properties calculated at the GGA-PBE level.

The space group is R-3m (No. 166, hexagonal axes) and the conventional cell measures 3.1048, 3.1048 and 32.3671 Å, with angles of 90.00, 90.00 and 120.00 degrees. The inequivalent atoms are Tl at (0.0000, 0.0000, 0.0993), Rh at (0.0000, 0.0000, 0.3021) and Rh at (0.0000, 0.0000, 0.5000).

Its calculated formation energy is 0.327 eV/atom.

---

Computed Fermi-level density of states (states/eV/cell) in order:
15.43; 16.93
Computed raw total energy (eV/atom) in order:
-4.014; -5.030
Computed energy relative to the lowest polymorph listed for this composition (meV/atom) in order:
253; 133